The following is a GGA-PBE calculation of an optimized crystal structure of NaLuBAu, from the Open Quantum Materials Database. Values from VASP.

```
&SYSTEM
  ibrav = 0, nat = 4, ntyp = 4
/
ATOMIC_SPECIES
Na 22.99 Na.upf
Lu 174.97 Lu.upf
B 10.81 B.upf
Au 196.97 Au.upf
CELL_PARAMETERS angstrom
0.000 3.316 3.316
3.316 0.000 3.316
3.316 3.316 0.000
ATOMIC_POSITIONS crystal
Na 0.000 0.000 0.000
Lu 0.500 0.500 0.500
B 0.250 0.250 0.250
Au 0.750 0.750 0.750
```

polymorph energy (0 for the lowest one): 0.00 kJ per mole of atoms
E: -15.0 eV/cell
theoretical density: 9.2 g cm⁻³

The following is a GGA-PBE calculation of an optimized crystal structure of DyAlNO, from the Open Quantum Materials Database. Values from VASP.

```
&SYSTEM
  ibrav = 0, nat = 16, ntyp = 4
/
ATOMIC_SPECIES
Dy 162.50 Dy.upf
Al 26.98 Al.upf
N 14.01 N.upf
O 16.00 O.upf
CELL_PARAMETERS angstrom
5.117 0.000 0.000
0.000 7.898 0.000
0.000 0.000 4.946
ATOMIC_POSITIONS crystal
Dy 0.010 0.133 0.000
Dy 0.490 0.133 0.500
Dy 0.510 0.867 0.000
Dy 0.990 0.867 0.500
Al 0.058 0.615 0.965
Al 0.442 0.615 0.465
Al 0.558 0.385 0.965
Al 0.942 0.385 0.465
N 0.007 0.839 0.000
N 0.493 0.839 0.500
N 0.507 0.161 0.000
N 0.993 0.161 0.500
O 0.123 0.557 0.609
O 0.377 0.557 0.109
O 0.623 0.443 0.609
O 0.877 0.443 0.109
```

polymorph energy (0 for the lowest one): 2.72 kJ per mole of atoms
E: -117.2 eV/cell
theoretical density: 7.3 g cm⁻³

The following is a GGA-PBE calculation of an optimized crystal structure of SrPrTe3Au, from the Open Quantum Materials Database. Values from VASP.

```
&SYSTEM
  ibrav = 0, nat = 12, ntyp = 4
/
ATOMIC_SPECIES
Sr 87.62 Sr.upf
Pr 140.91 Pr.upf
Te 127.60 Te.upf
Au 196.97 Au.upf
CELL_PARAMETERS angstrom
8.656 0.000 0.000
0.000 4.446 0.000
-2.583 0.000 10.310
ATOMIC_POSITIONS crystal
Sr 0.227 0.250 0.288
Sr 0.773 0.750 0.712
Pr 0.309 0.750 0.831
Pr 0.691 0.250 0.169
Te 0.053 0.250 0.847
Te 0.272 0.750 0.530
Te 0.420 0.750 0.146
Te 0.580 0.250 0.854
Te 0.728 0.250 0.470
Te 0.947 0.750 0.153
Au 0.096 0.250 0.595
Au 0.904 0.750 0.405
```

E: -52.7 eV/cell
theoretical density: 6.8 g cm⁻³

The following is a GGA-PBE calculation of an optimized crystal structure of Y3ZnCd3Au2, from the Open Quantum Materials Database. Values from VASP.

```
&SYSTEM
  ibrav = 0, nat = 9, ntyp = 4
/
ATOMIC_SPECIES
Y 88.91 Y.upf
Zn 65.41 Zn.upf
Cd 112.41 Cd.upf
Au 196.97 Au.upf
CELL_PARAMETERS angstrom
7.688 0.000 0.000
-3.844 6.658 0.000
0.000 0.000 3.957
ATOMIC_POSITIONS crystal
Y 0.000 0.410 0.000
Y 0.410 0.000 0.000
Y 0.590 0.590 0.000
Zn 0.000 0.000 0.000
Cd 0.000 0.751 0.500
Cd 0.249 0.249 0.500
Cd 0.751 0.000 0.500
Au 0.333 0.667 0.500
Au 0.667 0.333 0.500
```

DFT formation energy: -603 meV/atom
E: -35.3 eV/cell
theoretical density: 8.7 g cm⁻³

The following is a GGA-PBE calculation of an optimized crystal structure of DyUIn, from the Open Quantum Materials Database. Values from VASP.

```
&SYSTEM
  ibrav = 0, nat = 3, ntyp = 3
/
ATOMIC_SPECIES
Dy 162.50 Dy.upf
U 238.03 U.upf
In 114.82 In.upf
CELL_PARAMETERS angstrom
0.000 3.643 3.643
3.643 0.000 3.643
3.643 3.643 0.000
ATOMIC_POSITIONS crystal
Dy 0.000 0.000 0.000
U 0.500 0.500 0.500
In 0.250 0.250 0.250
```

polymorph energy (0 for the lowest one): 0.00 kJ per mole of atoms
E: -16.7 eV/cell
theoretical density: 8.8 g cm⁻³

The following is a GGA-PBE calculation of an optimized crystal structure of NaLiHo, from the Open Quantum Materials Database. Values from VASP.

```
&SYSTEM
  ibrav = 0, nat = 3, ntyp = 3
/
ATOMIC_SPECIES
Na 22.99 Na.upf
Li 6.94 Li.upf
Ho 164.93 Ho.upf
CELL_PARAMETERS angstrom
0.000 3.568 3.568
3.568 0.000 3.568
3.568 3.568 0.000
ATOMIC_POSITIONS crystal
Na 0.000 0.000 0.000
Li 0.750 0.750 0.750
Ho 0.500 0.500 0.500
```

polymorph energy (0 for the lowest one): 0.00 kJ per mole of atoms
E: -5.9 eV/cell
theoretical density: 3.6 g cm⁻³

The following is a GGA-PBE calculation of an optimized crystal structure of PmTmZr, from the Open Quantum Materials Database. Values from VASP.

```
&SYSTEM
  ibrav = 0, nat = 3, ntyp = 3
/
ATOMIC_SPECIES
Pm 145.00 Pm.upf
Tm 168.93 Tm.upf
Zr 91.22 Zr.upf
CELL_PARAMETERS angstrom
0.000 3.668 3.668
3.668 0.000 3.668
3.668 3.668 0.000
ATOMIC_POSITIONS crystal
Pm 0.000 0.000 0.000
Tm 0.250 0.250 0.250
Zr 0.500 0.500 0.500
```

polymorph energy (0 for the lowest one): 0.00 kJ per mole of atoms
DFT formation energy: 923 meV/atom
E: -15.0 eV/cell
theoretical density: 6.8 g cm⁻³

The following is a GGA-PBE calculation of an optimized crystal structure of LuBeGaPd, from the Open Quantum Materials Database. Values from VASP.

```
&SYSTEM
  ibrav = 0, nat = 4, ntyp = 4
/
ATOMIC_SPECIES
Lu 174.97 Lu.upf
Be 9.01 Be.upf
Ga 69.72 Ga.upf
Pd 106.42 Pd.upf
CELL_PARAMETERS angstrom
0.000 3.189 3.189
3.189 0.000 3.189
3.189 3.189 0.000
ATOMIC_POSITIONS crystal
Lu 0.000 0.000 0.000
Be 0.750 0.750 0.750
Ga 0.500 0.500 0.500
Pd 0.250 0.250 0.250
```

polymorph energy (0 for the lowest one): 0.25 kJ per mole of atoms
E: -18.1 eV/cell
theoretical density: 9.2 g cm⁻³

The following is a GGA-PBE calculation of an optimized crystal structure of Si7Ni4Au2, from the Open Quantum Materials Database. Values from VASP.

```
&SYSTEM
  ibrav = 0, nat = 13, ntyp = 3
/
ATOMIC_SPECIES
Si 28.09 Si.upf
Ni 58.69 Ni.upf
Au 196.97 Au.upf
CELL_PARAMETERS angstrom
6.423 -1.890 0.000
6.423 1.890 0.000
-2.726 0.000 7.541
ATOMIC_POSITIONS crystal
Si 0.000 0.000 0.000
Si 0.005 0.005 0.335
Si 0.335 0.335 0.576
Si 0.346 0.346 0.241
Si 0.654 0.654 0.759
Si 0.665 0.665 0.424
Si 0.995 0.995 0.665
Ni 0.155 0.155 0.588
Ni 0.494 0.494 0.832
Ni 0.506 0.506 0.168
Ni 0.845 0.845 0.412
Au 0.306 0.306 0.907
Au 0.694 0.694 0.093
```

E: -71.1 eV/cell
theoretical density: 7.5 g cm⁻³

The following is a GGA-PBE calculation of an optimized crystal structure of AcAsPd, from the Open Quantum Materials Database. Values from VASP.

```
&SYSTEM
  ibrav = 0, nat = 3, ntyp = 3
/
ATOMIC_SPECIES
Ac 227.00 Ac.upf
As 74.92 As.upf
Pd 106.42 Pd.upf
CELL_PARAMETERS angstrom
0.000 3.573 3.573
3.573 0.000 3.573
3.573 3.573 0.000
ATOMIC_POSITIONS crystal
Ac 0.000 0.000 0.000
As 0.750 0.750 0.750
Pd 0.250 0.250 0.250
```

polymorph energy (0 for the lowest one): 83.36 kJ per mole of atoms
E: -15.0 eV/cell
theoretical density: 7.4 g cm⁻³

The following is a GGA-PBE calculation of an optimized crystal structure of LaSnPt, from the Open Quantum Materials Database. Values from VASP.

```
&SYSTEM
  ibrav = 0, nat = 3, ntyp = 3
/
ATOMIC_SPECIES
La 138.91 La.upf
Sn 118.71 Sn.upf
Pt 195.08 Pt.upf
CELL_PARAMETERS angstrom
0.000 3.438 3.438
3.438 0.000 3.438
3.438 3.438 0.000
ATOMIC_POSITIONS crystal
La 0.000 0.000 0.000
Sn 0.500 0.500 0.500
Pt 0.250 0.250 0.250
```

E: -17.8 eV/cell
theoretical density: 9.2 g cm⁻³

The following is a GGA-PBE calculation of an optimized crystal structure of LaPaAu, from the Open Quantum Materials Database. Values from VASP.

```
&SYSTEM
  ibrav = 0, nat = 3, ntyp = 3
/
ATOMIC_SPECIES
La 138.91 La.upf
Pa 231.04 Pa.upf
Au 196.97 Au.upf
CELL_PARAMETERS angstrom
0.000 3.471 3.471
3.471 0.000 3.471
3.471 3.471 0.000
ATOMIC_POSITIONS crystal
La 0.000 0.000 0.000
Pa 0.750 0.750 0.750
Au 0.500 0.500 0.500
```

DFT formation energy: 255 meV/atom
E: -16.9 eV/cell
theoretical density: 11.3 g cm⁻³